# 1
Density functional theory data (GGA-PBE) for a relaxed Na2LaAuO4 crystal.

## Properties
- Energy relative to the elements, uncorrected: -1309 kJ/mol of formula units

a = 5.9679 Å, b = 5.9679 Å, c = 6.6000 Å
α = 90.00°, β = 90.00°, γ = 90.00°
Space group I-4 (No. 82)
One atom of each set of equivalent atoms:
Na  0.0000  0.0000  0.0000 x2
Na  0.0000  0.5000  0.2500 x2
La  0.0000  0.5000  0.7500 x2
Au  0.0000  0.0000  0.5000 x2
O  0.1969  0.2767  0.5028 x8

# 2
Density functional theory data (GGA-PBE) for a relaxed TmZr4Sc3 crystal.

a = 10.3718 Å, b = 6.6279 Å, c = 5.6647 Å
α = 90.00°, β = 90.00°, γ = 90.00°
Space group Pmn2_1 (No. 31)
One atom of each set of equivalent atoms:
Tm  0.0000  0.1253  0.0000 x2
Zr  0.0000  0.6256  0.9876 x2
Zr  0.0000  0.8561  0.4906 x2
Zr  0.2484  0.6130  0.6622 x4
Sc  0.0000  0.3795  0.4918 x2
Sc  0.2486  0.1291  0.6488 x4

# 3
Density functional theory data (GGA-PBE) for a relaxed Ta5Mo crystal.

a = 7.6395 Å, b = 7.6395 Å, c = 7.6395 Å
α = 90.00°, β = 90.00°, γ = 90.00°
Space group F-43m (No. 216)
One atom of each set of equivalent atoms:
Ta  0.0000  0.0000  0.0000 x4
Ta  0.1251  0.1251  0.6251 x16
Mo  0.2500  0.2500  0.2500 x4

# 4
Density functional theory data (GGA-PBE) for a relaxed CeTiSn crystal.

a = 3.7545 Å, b = 3.7545 Å, c = 10.3044 Å
α = 90.00°, β = 90.00°, γ = 90.00°
Space group I4mm (No. 107)
One atom of each set of equivalent atoms:
Ce  0.0000  0.0000  0.0000 x2
Ti  0.0000  0.0000  0.7036 x2
Sn  0.0000  0.0000  0.3102 x2

# 5
Density functional theory data (GGA-PBE) for a relaxed Mg4NiPt crystal.

a = 4.4023 Å, b = 4.4023 Å, c = 6.1964 Å
α = 90.00°, β = 90.00°, γ = 90.00°
Space group P4/mmm (No. 123)
One atom of each set of equivalent atoms:
Mg  0.0000  0.5000  0.2466 x4
Ni  0.0000  0.0000  0.0000 x1
Pt  0.5000  0.5000  0.5000 x1

# 6
Density functional theory data (GGA-PBE) for a relaxed Pm3Zn2Rh6 crystal.

a = 9.4253 Å, b = 9.4253 Å, c = 9.4253 Å
α = 90.00°, β = 90.00°, γ = 90.00°
Space group Im-3m (No. 229)
One atom of each set of equivalent atoms:
Pm  0.0000  0.0000  0.2902 x12
Zn  0.2500  0.2500  0.2500 x8
Rh  0.0000  0.3439  0.3439 x24

# 7
Density functional theory data (GGA-PBE) for a relaxed SnRuSe2N crystal.

## Properties
- Energy relative to the elements, uncorrected: 654 kJ/mol of formula units

a = 5.3308 Å, b = 5.3308 Å, c = 3.9577 Å
α = 90.00°, β = 90.00°, γ = 90.00°
Space group P4/mmm (No. 123)
One atom of each set of equivalent atoms:
Sn  0.0000  0.0000  0.0000 x1
Ru  0.5000  0.5000  0.5000 x1
Se  0.0000  0.5000  0.0000 x2
N  0.0000  0.0000  0.5000 x1

# 8
Density functional theory data (GGA-PBE) for a relaxed HgPtCl2 crystal.

## Properties
- Energy relative to the elements, uncorrected: 190 kJ/mol of formula units

a = 6.0161 Å, b = 7.4387 Å, c = 3.6265 Å
α = 90.00°, β = 90.00°, γ = 90.00°
Space group Cmmm (No. 65)
One atom of each set of equivalent atoms:
Hg  0.0000  0.0000  0.0000 x2
Pt  0.0000  0.5000  0.0000 x2
Cl  0.2500  0.2500  0.5000 x4

Final energy (computed, eV/f.u.): -44.245, -57.698, -68.809, -18.257, -19.956, -66.723, -21.794, -8.064
Magnetization (computed, μB/f.u.): 0.00, 0.00, 0.00, 0.56, 0.00, 0.00, 4.39, 0.00